## Er2TmMg4 (PBE-GGA)

Data for a geometry-optimized Er2TmMg4 structure.

Lattice parameters (Å, degrees): 5.3707 5.9376 7.1403 114.57 90.00 90.00
Fractional coordinates of all 7 atoms:
1 Er 0.5000 0.1305 0.2610
2 Er 0.5000 0.8695 0.7390
3 Tm 0.0000 0.5000 0.0000
4 Mg 0.5000 0.6189 0.2378
5 Mg 0.0000 0.7409 0.4818
6 Mg 0.5000 0.3811 0.7622
7 Mg 0.0000 0.2591 0.5182

Output
ΔH_f (0 K): 0.4119 eV per atom
spin magnetization: 0.000 μB/atom
crystal system: orthorhombic
Fermi-level density of states: 5.2 states/eV/cell
calculated total energy: -2.442 eV/atom
symmetry: Cmmm
offset from the most stable computed form: 24.78 kJ/mol of atoms